No. 1
DFT (PBE) results for crystalline ZrTc2W2 at its relaxed geometry.

The total magnetization is 0.0000 μB/atom. The value obtained for the formation energy is 193 meV/atom. Its density of states at the Fermi level is 13.5 states/eV/cell. As for the calculated total energy: -10.844 eV per atom.

It has space group P4/mbm (No. 127), with a = 7.642 Å, b = 7.642 Å, c = 2.935 Å, α = 90.00°, β = 90.00° and γ = 90.00°. The inequivalent atoms are Zr at (0.000, 0.000, 0.000), Tc at (0.145, 0.355, 0.000) and W at (0.151, 0.651, 0.500).

---

No. 2
DFT (PBE) results for crystalline Zr2TcW at its relaxed geometry.

The total magnetization is 0.0000 μB/atom. The value obtained for the formation energy is 83 meV/atom. Its density of states at the Fermi level is 7.5 states/eV/cell. As for the calculated total energy: -10.021 eV per atom.

It has space group Cmm2 (No. 35), with a = 3.281 Å, b = 4.822 Å, c = 9.433 Å, α = 90.00°, β = 90.00° and γ = 90.00°. The inequivalent atoms are Zr at (0.000, 0.000, 0.000), Zr at (0.000, 0.500, 0.298), Tc at (0.000, 0.500, 0.764) and W at (0.000, 0.000, 0.549).

---

No. 3
DFT (PBE) results for crystalline ZrTc2W at its relaxed geometry.

The total magnetization is 0.0000 μB/atom. The energy above the most stable polymorph in this dataset is 5.63 kcal/mol of atoms. The value obtained for the formation energy is -15 meV/atom. Its density of states at the Fermi level is 3.1 states/eV/cell. As for the calculated total energy: -10.574 eV per atom.

It has space group P2/m (No. 10), with a = 2.850 Å, b = 4.378 Å, c = 5.375 Å, α = 90.00°, β = 98.59° and γ = 90.00°. The inequivalent atoms are Zr at (0.000, 0.000, 0.000), Tc at (0.259, 0.500, 0.736) and W at (0.500, 0.000, 0.500).

---

No. 4
DFT (PBE) results for crystalline Zr4Tc5W at its relaxed geometry.

The total magnetization is 0.0000 μB/atom. The value obtained for the formation energy is -306 meV/atom. Its density of states at the Fermi level is 8.4 states/eV/cell. As for the calculated total energy: -10.204 eV per atom.

It has space group P4/mmm (No. 123), with a = 3.246 Å, b = 3.246 Å, c = 16.429 Å, α = 90.00°, β = 90.00° and γ = 90.00°. The inequivalent atoms are Zr at (0.000, 0.000, 0.101), Zr at (0.000, 0.000, 0.302), Tc at (0.500, 0.500, 0.000), Tc at (0.500, 0.500, 0.204), Tc at (0.500, 0.500, 0.409) and W at (0.000, 0.000, 0.500).

---

No. 5
DFT (PBE) results for crystalline ZrTc2W at its relaxed geometry.

The total magnetization is 0.0000 μB/atom. The energy above the most stable polymorph in this dataset is 6.52 kcal/mol of atoms. The value obtained for the formation energy is 23 meV/atom. Its density of states at the Fermi level is 16.6 states/eV/cell. As for the calculated total energy: -10.535 eV per atom.

It has space group F-43m (No. 216), with a = 6.405 Å, b = 6.405 Å, c = 6.405 Å, α = 90.00°, β = 90.00° and γ = 90.00°. The inequivalent atoms are Zr at (0.000, 0.000, 0.000), Tc at (0.000, 0.000, 0.500), Tc at (0.250, 0.250, 0.750) and W at (0.250, 0.250, 0.250).

---

No. 6
DFT (PBE) results for crystalline Zr2TcW at its relaxed geometry.

The total magnetization is 0.0000 μB/atom. The value obtained for the formation energy is 40 meV/atom. Its density of states at the Fermi level is 4.0 states/eV/cell. As for the calculated total energy: -10.064 eV per atom.

It has space group Pmmm (No. 47), with a = 3.303 Å, b = 4.550 Å, c = 4.841 Å, α = 90.00°, β = 90.00° and γ = 90.00°. The inequivalent atoms are Zr at (0.000, 0.000, 0.000), Zr at (0.500, 0.000, 0.500), Tc at (0.000, 0.500, 0.500) and W at (0.500, 0.500, 0.000).

---

No. 7
DFT (PBE) results for crystalline ZrTc2W at its relaxed geometry.

The total magnetization is 0.0000 μB/atom. The energy above the most stable polymorph in this dataset is 9.32 kcal/mol of atoms. The value obtained for the formation energy is 145 meV/atom. Its density of states at the Fermi level is 4.0 states/eV/cell. As for the calculated total energy: -10.414 eV per atom.

It has space group P4mm (No. 99), with a = 2.871 Å, b = 2.871 Å, c = 8.207 Å, α = 90.00°, β = 90.00° and γ = 90.00°. The inequivalent atoms are Zr at (0.000, 0.000, 0.000), Tc at (0.000, 0.000, 0.471), Tc at (0.500, 0.500, 0.273) and W at (0.500, 0.500, 0.713).

---

No. 8
DFT (PBE) results for crystalline ZrTc2W at its relaxed geometry.

The total magnetization is 0.0000 μB/atom. The energy above the most stable polymorph in this dataset is 11.52 kcal/mol of atoms. The value obtained for the formation energy is 240 meV/atom. Its density of states at the Fermi level is 5.8 states/eV/cell. As for the calculated total energy: -10.318 eV per atom.

It has space group R3m (No. 160, hexagonal axes), with a = 2.8217 Å, b = 2.8217 Å, c = 29.1700 Å, α = 90.00°, β = 90.00° and γ = 120.00°. The inequivalent atoms are Zr at (0.0000, 0.0000, 0.0000), Tc at (0.0000, 0.0000, 0.2437), Tc at (0.0000, 0.0000, 0.5051) and W at (0.0000, 0.0000, 0.7587).

---

No. 9
DFT (PBE) results for crystalline ZrTc2W at its relaxed geometry.

The total magnetization is 0.0000 μB/atom. The energy above the most stable polymorph in this dataset is 3.77 kcal/mol of atoms. The value obtained for the formation energy is -96 meV/atom. Its density of states at the Fermi level is 5.2 states/eV/cell. As for the calculated total energy: -10.654 eV per atom.

It has space group Imm2 (No. 44), with a = 3.190 Å, b = 4.505 Å, c = 9.218 Å, α = 90.00°, β = 90.00° and γ = 90.00°. The inequivalent atoms are Zr at (0.000, 0.000, 0.000), Tc at (0.000, 0.000, 0.503), Tc at (0.000, 0.500, 0.752) and W at (0.000, 0.500, 0.241).

---

No. 10
DFT (PBE) results for crystalline Zr2TcW at its relaxed geometry.

The total magnetization is 0.0000 μB/atom. The value obtained for the formation energy is 16 meV/atom. Its density of states at the Fermi level is 3.6 states/eV/cell. As for the calculated total energy: -10.088 eV per atom.

It has space group Pm (No. 6), with a = 3.028 Å, b = 4.552 Å, c = 5.484 Å, α = 90.00°, β = 102.65° and γ = 90.00°. The inequivalent atoms are Zr at (0.000, 0.000, 0.000), Zr at (0.282, 0.500, 0.730), Tc at (0.768, 0.500, 0.252) and W at (0.548, 0.000, 0.473).

---

No. 11
DFT (PBE) results for crystalline Zr2TcW at its relaxed geometry.

The total magnetization is 0.0000 μB/atom. The value obtained for the formation energy is 592 meV/atom. Its density of states at the Fermi level is 17.1 states/eV/cell. As for the calculated total energy: -9.512 eV per atom.

It has space group I-42d (No. 122), with a = 7.450 Å, b = 7.450 Å, c = 5.635 Å, α = 90.00°, β = 90.00° and γ = 90.00°. The inequivalent atoms are Zr at (0.233, 0.250, 0.125), Tc at (0.000, 0.000, 0.000) and W at (0.000, 0.000, 0.500).

---

No. 12
DFT (PBE) results for crystalline ZrTc2W at its relaxed geometry.

The total magnetization is 0.0000 μB/atom. The energy above the most stable polymorph in this dataset is 10.03 kcal/mol of atoms. The value obtained for the formation energy is 176 meV/atom. Its density of states at the Fermi level is 9.7 states/eV/cell. As for the calculated total energy: -10.383 eV per atom.

It has space group R-3m (No. 166, hexagonal axes), with a = 3.0300 Å, b = 3.0300 Å, c = 25.6120 Å, α = 90.00°, β = 90.00° and γ = 120.00°. The inequivalent atoms are Zr at (0.0000, 0.0000, 0.0000), Tc at (0.0000, 0.0000, 0.2450) and W at (0.0000, 0.0000, 0.5000).

---

No. 13
DFT (PBE) results for crystalline Zr5Tc6W at its relaxed geometry.

The total magnetization is 0.0000 μB/atom. The value obtained for the formation energy is -334 meV/atom. Its density of states at the Fermi level is 20.3 states/eV/cell. As for the calculated total energy: -10.158 eV per atom.

It has space group Cmmm (No. 65), with a = 4.618 Å, b = 13.837 Å, c = 6.533 Å, α = 90.00°, β = 90.00° and γ = 90.00°. The inequivalent atoms are Zr at (0.000, 0.000, 0.000), Zr at (0.000, 0.333, 0.000), Zr at (0.000, 0.334, 0.500), Tc at (0.000, 0.162, 0.255), Tc at (0.000, 0.500, 0.260) and W at (0.000, 0.000, 0.500).